1.
First-principles (PBE) data for a geometry-optimized Th3Zn4Ge2 structure, as listed in Alexandria.

Results
The calculation puts the electronic total energy at -0.3355 Ry per atom. The value obtained for the formation energy from the elements is -499 meV/atom. Its magnetic moment is 0.000 Bohr magnetons per cell.

Cell lengths 4.273, 5.967, 8.514 Å; angles 101.68, 90.00, 110.98 degrees
Fractional coordinates of all 9 atoms:
Ge  0.610  0.221  0.275
Ge  0.390  0.779  0.725
Zn  0.270  0.540  0.941
Zn  0.049  0.097  0.386
Zn  0.951  0.903  0.614
Zn  0.730  0.460  0.059
Th  0.000  0.000  0.000
Th  0.331  0.661  0.336
Th  0.669  0.339  0.664

***

2.
First-principles (PBE) data for a geometry-optimized AcSm2Bi structure, as listed in Alexandria.

Results
The calculation puts the electronic total energy at -0.3476 Ry per atom. The value obtained for the formation energy from the elements is -372 meV/atom. For the offset from the most stable computed form, the calculation gives 0.5 kJ/mol of atoms. Its magnetic moment is 0.000 Bohr magnetons per cell.

Cell lengths 4.993, 5.131, 5.131 Å; angles 90.00, 90.00, 90.00 degrees
Fractional coordinates of all 4 atoms:
Sm  0.000  0.000  0.500
Sm  0.000  0.500  0.000
Ac  0.500  0.500  0.500
Bi  0.500  0.000  0.000

***

3.
First-principles (PBE) data for a geometry-optimized Zr4BeW structure, as listed in Alexandria.

Results
The calculation puts the electronic total energy at -0.5611 Ry per atom. The value obtained for the formation energy from the elements is 845 meV/atom. Its magnetic moment is 0.000 Bohr magnetons per cell.

Cell lengths 5.588, 5.588, 5.588 Å; angles 60.00, 60.00, 60.00 degrees
Fractional coordinates of all 6 atoms:
Be  0.750  0.750  0.750
Zr  0.880  0.373  0.373
Zr  0.373  0.373  0.373
Zr  0.373  0.880  0.373
Zr  0.373  0.373  0.880
W  0.000  0.000  0.000